(1)
Density functional theory data (PBE-GGA) for a relaxed CuNi2Pd crystal.

Unit cell a=5.844 b=5.844 c=5.844 alpha=90.00 beta=90.00 gamma=90.00
Element x y z (fractional)
Cu1 0.000 0.000 0.000
Cu2 0.000 0.500 0.500
Cu3 0.500 0.000 0.500
Cu4 0.500 0.500 0.000
Ni1 0.250 0.250 0.250
Ni2 0.250 0.250 0.750
Ni3 0.250 0.750 0.250
Ni4 0.250 0.750 0.750
Ni5 0.750 0.250 0.250
Ni6 0.750 0.250 0.750
Ni7 0.750 0.750 0.250
Ni8 0.750 0.750 0.750
Pd1 0.000 0.000 0.500
Pd2 0.000 0.500 0.000
Pd3 0.500 0.000 0.000
Pd4 0.500 0.500 0.500

Summary:
**Mass density**: 9.6 Mg/m³
**Volume**: 200 Å³ per cell
**Final energy**: -81.6 eV/cell
**Total magnetization**: 4.8 μB/cell
**Density of states at the Fermi level**: 6.1 states/eV/f.u.

***

(2)
Density functional theory data (PBE-GGA) for a relaxed CuNi2Pd crystal.

Unit cell a=5.843 b=5.843 c=5.843 alpha=90.00 beta=90.00 gamma=90.00
Element x y z (fractional)
Cu1 0.000 0.000 0.000
Cu2 0.000 0.500 0.500
Cu3 0.500 0.000 0.500
Cu4 0.500 0.500 0.000
Ni1 0.000 0.000 0.500
Ni2 0.000 0.500 0.000
Ni3 0.250 0.250 0.250
Ni4 0.250 0.750 0.750
Ni5 0.500 0.000 0.000
Ni6 0.500 0.500 0.500
Ni7 0.750 0.250 0.750
Ni8 0.750 0.750 0.250
Pd1 0.250 0.250 0.750
Pd2 0.250 0.750 0.250
Pd3 0.750 0.250 0.250
Pd4 0.750 0.750 0.750

Summary:
**Mass density**: 9.6 Mg/m³
**Volume**: 200 Å³ per cell
**Final energy**: -82.1 eV/cell
**Total magnetization**: 5.4 μB/cell
**Density of states at the Fermi level**: 5.2 states/eV/f.u.

***

(3)
Density functional theory data (PBE-GGA) for a relaxed Cu5NiPd6 crystal.

Unit cell a=4.726 b=4.726 c=8.709 alpha=95.19 beta=95.19 gamma=120.07
Element x y z (fractional)
Cu1 0.000 0.000 0.000
Cu2 0.167 0.833 0.500
Cu3 0.333 0.667 0.000
Cu4 0.667 0.333 0.000
Cu5 0.833 0.167 0.500
Ni1 0.500 0.500 0.500
Pd1 0.085 0.417 0.251
Pd2 0.251 0.251 0.749
Pd3 0.417 0.085 0.251
Pd4 0.583 0.915 0.749
Pd5 0.749 0.749 0.251
Pd6 0.915 0.583 0.749

Summary:
**Mass density**: 10.2 Mg/m³
**Volume**: 166 Å³ per cell
**Final energy**: -58.0 eV/cell
**Total magnetization**: 0.9 μB/cell
**Density of states at the Fermi level**: 11.7 states/eV/f.u.

***

(4)
Density functional theory data (PBE-GGA) for a relaxed Cu2NiPd4 crystal.

Unit cell a=4.503 b=16.930 c=2.689 alpha=90.00 beta=90.00 gamma=90.00
Element x y z (fractional)
Cu1 0.000 0.215 0.000
Cu2 0.000 0.785 0.000
Cu3 0.500 0.285 0.000
Cu4 0.500 0.715 0.000
Ni1 0.000 0.500 0.500
Ni2 0.500 0.000 0.500
Pd1 0.000 0.080 0.500
Pd2 0.000 0.366 0.000
Pd3 0.000 0.634 0.000
Pd4 0.000 0.920 0.500
Pd5 0.500 0.134 0.000
Pd6 0.500 0.420 0.500
Pd7 0.500 0.580 0.500
Pd8 0.500 0.866 0.000

Summary:
**Mass density**: 9.9 Mg/m³
**Volume**: 205 Å³ per cell
**Final energy**: -67.9 eV/cell
**Total magnetization**: 3.0 μB/cell
**Density of states at the Fermi level**: 9.6 states/eV/f.u.

***

(5)
Density functional theory data (PBE-GGA) for a relaxed Cu2NiPd crystal.

Unit cell a=3.697 b=3.697 c=3.694 alpha=90.00 beta=90.00 gamma=90.00
Element x y z (fractional)
Cu1 0.000 0.500 0.000
Cu2 0.500 0.000 0.000
Ni1 0.000 0.000 0.500
Pd1 0.500 0.500 0.500

Summary:
**Mass density**: 9.6 Mg/m³
**Volume**: 50 Å³ per cell
**Final energy**: -19.2 eV/cell
**Total magnetization**: 0.5 μB/cell
**Density of states at the Fermi level**: 6.0 states/eV/f.u.

***

(6)
Density functional theory data (PBE-GGA) for a relaxed Cu2NiPd5 crystal.

Unit cell a=5.423 b=10.795 c=3.864 alpha=90.00 beta=90.00 gamma=90.00
Element x y z (fractional)
Cu1 0.227 0.128 0.000
Cu2 0.273 0.628 0.000
Cu3 0.727 0.372 0.000
Cu4 0.773 0.872 0.000
Ni1 0.000 0.500 0.500
Ni2 0.500 0.000 0.500
Pd1 0.000 0.000 0.500
Pd2 0.032 0.744 0.500
Pd3 0.223 0.383 0.000
Pd4 0.277 0.883 0.000
Pd5 0.468 0.244 0.500
Pd6 0.500 0.500 0.500
Pd7 0.532 0.756 0.500
Pd8 0.723 0.117 0.000
Pd9 0.777 0.617 0.000
Pd10 0.968 0.256 0.500

Summary:
**Mass density**: 10.5 Mg/m³
**Volume**: 226 Å³ per cell
**Final energy**: -80.4 eV/cell
**Total magnetization**: 3.3 μB/cell
**Density of states at the Fermi level**: 9.1 states/eV/f.u.

***

(7)
Density functional theory data (PBE-GGA) for a relaxed Cu5NiPd2 crystal.

Unit cell a=2.586 b=8.187 c=9.877 alpha=90.00 beta=90.00 gamma=90.00
Element x y z (fractional)
Cu1 0.000 0.000 0.000
Cu2 0.000 0.269 0.378
Cu3 0.000 0.269 0.622
Cu4 0.000 0.731 0.378
Cu5 0.000 0.731 0.622
Cu6 0.500 0.231 0.122
Cu7 0.500 0.231 0.878
Cu8 0.500 0.500 0.500
Cu9 0.500 0.769 0.122
Cu10 0.500 0.769 0.878
Ni1 0.000 0.500 0.000
Ni2 0.500 0.000 0.500
Pd1 0.000 0.000 0.260
Pd2 0.000 0.000 0.740
Pd3 0.500 0.500 0.240
Pd4 0.500 0.500 0.760

Summary:
**Mass density**: 9.4 Mg/m³
**Volume**: 209 Å³ per cell
**Final energy**: -72.4 eV/cell
**Total magnetization**: 0.0 μB/cell
**Density of states at the Fermi level**: 4.0 states/eV/f.u.

***

(8)
Density functional theory data (PBE-GGA) for a relaxed Cu4NiPd7 crystal.

Unit cell a=4.718 b=5.388 c=7.166 alpha=77.60 beta=71.69 gamma=89.14
Element x y z (fractional)
Cu1 0.165 0.167 0.335
Cu2 0.333 0.584 0.665
Cu3 0.667 0.416 0.335
Cu4 0.835 0.833 0.665
Ni1 0.500 0.000 0.000
Pd1 0.007 0.248 0.003
Pd2 0.172 0.667 0.335
Pd3 0.336 0.081 0.664
Pd4 0.500 0.500 0.000
Pd5 0.664 0.919 0.336
Pd6 0.828 0.333 0.665
Pd7 0.993 0.752 0.997

Summary:
**Mass density**: 10.4 Mg/m³
**Volume**: 169 Å³ per cell
**Final energy**: -59.1 eV/cell
**Total magnetization**: 1.6 μB/cell
**Density of states at the Fermi level**: 15.6 states/eV/f.u.